PBE-GGA Sm3LuF, relaxed; raw formation energy = -0.96 eV per atom; symmetry = Pm-3m (221)
1.0
5.095 0.000 0.000
0.000 5.095 0.000
0.000 0.000 5.095
Lu Sm F
1 3 1
direct
0.500 0.500 0.500 Lu
0.000 0.500 0.000 Sm
0.000 0.000 0.500 Sm
0.500 0.000 0.000 Sm
0.000 0.000 0.000 F

---

PBE-GGA ReGeIr3, relaxed; energy above the lowest structure with this stoichiometry = 0.000 eV/atom; symmetry = Pm-3m (221); energy of formation from the pure elements = 1.6101 eV per atom
1.0
4.761 0.000 0.000
0.000 4.761 0.000
0.000 0.000 4.761
Re Ge Ir
1 1 3
direct
0.000 0.000 0.000 Re
0.500 0.500 0.500 Ge
0.000 0.500 0.000 Ir
0.000 0.000 0.500 Ir
0.500 0.000 0.000 Ir

---

PBE-GGA NaErZnPb, relaxed; symmetry = F-43m (216); energy of formation from the pure elements = -0.2097 eV per atom
1.0
-2.671 -3.509 2.754
-2.546 -3.824 -2.434
1.720 -4.895 0.339
Pb Na Zn Er
1 1 1 1
direct
0.500 0.500 0.500 Pb
0.250 0.250 0.250 Na
0.000 0.000 0.000 Zn
0.750 0.750 0.750 Er

---

PBE-GGA DyPa2Ru, relaxed; energy above the lowest structure with this stoichiometry = 0.000 eV/atom; symmetry = P4/mmm (123); energy of formation from the pure elements = -0.0582 eV per atom
1.0
3.581 0.000 0.000
0.000 3.581 0.000
0.000 0.000 7.602
Ru Pa Dy
1 2 1
direct
0.500 0.500 0.000 Ru
0.000 0.000 0.809 Pa
0.000 0.000 0.191 Pa
0.500 0.500 0.500 Dy

---

PBE-GGA Ba2AcTcN4, relaxed; raw formation energy = -0.58 eV per atom; symmetry = Pmn2_1 (31)
1.0
-3.688 -0.446 -4.422
-1.467 -7.306 1.961
-5.951 2.460 4.715
Ba Ac Tc N
4 2 2 8
direct
0.452 0.351 0.255 Ba
0.452 0.351 0.745 Ba
0.952 0.649 0.755 Ba
0.952 0.649 0.245 Ba
0.958 0.125 0.500 Ac
0.458 0.875 0.000 Ac
0.506 0.845 0.500 Tc
0.006 0.155 0.000 Tc
0.329 0.170 0.000 N
0.829 0.830 0.500 N
0.469 0.092 0.500 N
0.969 0.908 0.000 N
0.418 0.740 0.699 N
0.918 0.260 0.199 N
0.918 0.260 0.801 N
0.418 0.740 0.301 N

---

PBE-GGA Fe2CuHgPd, relaxed; symmetry = P4/mmm (123); energy of formation from the pure elements = 0.9821 eV per atom
1.0
-3.461 -2.194 -1.670
0.657 -3.468 3.193
-2.689 2.091 2.825
Cu Hg Pd Fe
1 1 1 2
direct
0.000 0.000 0.000 Cu
0.000 0.500 0.000 Hg
0.500 0.500 0.500 Pd
0.000 0.000 0.500 Fe
0.500 0.000 0.000 Fe

---

The calculation returns the following raw total energy values, one per record and in order: -5.07, -7.12, -2.93, -8.28, -7.04, -4.32 eV per atom.